Record 1
TiGeNF2 after structural relaxation, computed with PBE.

Unit cell a=4.1564 b=4.1564 c=3.8595 alpha=90.00 beta=90.00 gamma=90.00
Last column: nearest neighbours and their distance in Å.
Fractional coordinates of all 5 atoms:
1 F 0.0000 0.5000 0.0000  2 Ge 2.08
2 F 0.5000 0.0000 0.0000  2 Ge 2.08
3 Ge 0.0000 0.0000 0.0000  2 N 1.93, 4 F 2.08
4 N 0.0000 0.0000 0.5000  2 Ge 1.93
5 Ti 0.5000 0.5000 0.5000  8 F 2.84, 4 N 2.94

Output
Its offset from the most stable computed form is 0.791 eV/atom. The magnetization comes out at 2.26 μB per formula unit. As for the space group: P4/mmm. The calculation puts the total energy at -5.489 eV/atom.

Record 2
TlGeNF2 after structural relaxation, computed with PBE.

Unit cell a=4.4823 b=4.4823 c=4.2494 alpha=90.00 beta=90.00 gamma=90.00
Last column: nearest neighbours and their distance in Å.
Fractional coordinates of all 5 atoms:
1 Ge 0.5000 0.5000 0.5000  8 F 3.09, 4 N 3.17
2 F 0.0000 0.5000 0.0000  2 Tl 2.24
3 F 0.5000 0.0000 0.0000  2 Tl 2.24
4 N 0.0000 0.0000 0.5000  2 Tl 2.12
5 Tl 0.0000 0.0000 0.0000  2 N 2.12, 4 F 2.24

Output
Its offset from the most stable computed form is 0.775 eV/atom. The magnetization comes out at 0.00 μB per formula unit. As for the space group: P4/mmm. The calculation puts the total energy at -3.897 eV/atom.

Record 3
TlGeN2F after structural relaxation, computed with PBE.

Unit cell a=3.9410 b=3.9410 c=3.9725 alpha=90.00 beta=90.00 gamma=90.00
Last column: nearest neighbours and their distance in Å.
Fractional coordinates of all 5 atoms:
1 N 0.0000 0.5000 0.0000  2 Ge 1.97
2 N 0.5000 0.0000 0.0000  2 Ge 1.97
3 F 0.0000 0.0000 0.5000  2 Ge 1.99
4 Ge 0.0000 0.0000 0.0000  4 N 1.97, 2 F 1.99
5 Tl 0.5000 0.5000 0.5000  4 F 2.79, 8 N 2.80

Output
Its offset from the most stable computed form is 0.000 eV/atom. The magnetization comes out at 0.00 μB per formula unit. As for the space group: P4/mmm. The calculation puts the total energy at -4.816 eV/atom.

Record 4
TlGeNF2 after structural relaxation, computed with PBE.

Unit cell a=4.5607 b=4.5607 c=3.4538 alpha=90.00 beta=90.00 gamma=90.00
Last column: nearest neighbours and their distance in Å.
Fractional coordinates of all 5 atoms:
1 F 0.0000 0.5000 0.0000  2 Ge 2.28
2 F 0.5000 0.0000 0.0000  2 Ge 2.28
3 N 0.0000 0.0000 0.5000  2 Ge 1.73
4 Ge 0.0000 0.0000 0.0000  2 N 1.73
5 Tl 0.5000 0.5000 0.5000  8 F 2.86

Output
Its offset from the most stable computed form is 0.000 eV/atom. The magnetization comes out at 0.00 μB per formula unit. As for the space group: P4/mmm. The calculation puts the total energy at -4.673 eV/atom.

For each record above, in turn, the calculated formation energy without anion corrections values are -2.9; -0.4; 1.4; -4.3 eV per formula unit.